1.
# NaIn2Fe2, relaxed, DFT GGA-PBE
# energy = -4.53 eV per atom
# ΔE to the lowest computed polymorph = 0 meV per atom
# magnetic moment = 9.0 μB/cell
data_NaIn2Fe2
_symmetry_space_group_name_H-M 'P 4/m b m'
_symmetry_Int_Tables_number 127
_symmetry_space_group_name_Hall '-P 4 2ab'
_cell_length_a 8.037
_cell_length_b 8.037
_cell_length_c 2.863
_cell_angle_alpha 90.00
_cell_angle_beta 90.00
_cell_angle_gamma 90.00
loop_
_atom_site_label
_atom_site_type_symbol
_atom_site_fract_x
_atom_site_fract_y
_atom_site_fract_z
Na1 Na 0.000 0.000 0.000
In1 In 0.183 0.317 0.500
Fe1 Fe 0.107 0.607 0.000

=====

2.
# NaIn3Fe, relaxed, DFT GGA-PBE
# energy = -2.49 eV per atom
# ΔE to the lowest computed polymorph = 1068 meV per atom
# magnetic moment = 3.5 μB/cell
data_NaIn3Fe
_symmetry_space_group_name_H-M 'P m -3 m'
_symmetry_Int_Tables_number 221
_symmetry_space_group_name_Hall '-P 4 2 3'
_cell_length_a 5.375
_cell_length_b 5.375
_cell_length_c 5.375
_cell_angle_alpha 90.00
_cell_angle_beta 90.00
_cell_angle_gamma 90.00
loop_
_atom_site_label
_atom_site_type_symbol
_atom_site_fract_x
_atom_site_fract_y
_atom_site_fract_z
Na1 Na 0.000 0.000 0.000
In1 In 0.000 0.000 0.500
Fe1 Fe 0.500 0.500 0.500

=====

3.
# NaIn2Fe2, relaxed, DFT GGA-PBE
# energy = -4.33 eV per atom
# ΔE to the lowest computed polymorph = 202 meV per atom
# magnetic moment = 7.8 μB/cell
data_NaIn2Fe2
_symmetry_space_group_name_H-M 'I 4/m m m'
_symmetry_Int_Tables_number 139
_symmetry_space_group_name_Hall '-I 4 2'
_cell_length_a 4.948
_cell_length_b 4.948
_cell_length_c 8.319
_cell_angle_alpha 90.00
_cell_angle_beta 90.00
_cell_angle_gamma 90.00
loop_
_atom_site_label
_atom_site_type_symbol
_atom_site_fract_x
_atom_site_fract_y
_atom_site_fract_z
Na1 Na 0.000 0.000 0.000
In1 In 0.000 0.500 0.250
Fe1 Fe 0.000 0.000 0.372